{"formula": "Er3Sn5O12", "functional": "PBE", "state": "relaxed", "lattice": [[11.495, 0.000, 0.000], [-3.832, 10.837, 0.000], [-3.832, -5.419, 9.385]], "species": ["O", "O", "O", "O", "O", "O", "O", "O", "O", "O", "O", "O", "O", "O", "O", "O", "O", "O", "O", "O", "O", "O", "O", "O", "O", "O", "O", "O", "O", "O", "O", "O", "O", "O", "O", "O", "O", "O", "O", "O", "O", "O", "O", "O", "O", "O", "O", "O", "Er", "Er", "Er", "Er", "Er", "Er", "Er", "Er", "Er", "Er", "Er", "Er", "Sn", "Sn", "Sn", "Sn", "Sn", "Sn", "Sn", "Sn", "Sn", "Sn", "Sn", "Sn", "Sn", "Sn", "Sn", "Sn", "Sn", "Sn", "Sn", "Sn"], "fractional_positions": [[0.212, 0.664, 0.080], [0.836, 0.920, 0.288], [0.916, 0.836, 0.548], [0.132, 0.712, 0.548], [0.420, 0.132, 0.584], [0.916, 0.080, 0.868], [0.164, 0.084, 0.952], [0.132, 0.420, 0.084], [0.952, 0.584, 0.164], [0.664, 0.452, 0.584], [0.584, 0.632, 0.420], [0.368, 0.416, 0.080], [0.548, 0.212, 0.132], [0.664, 0.212, 0.580], [0.212, 0.548, 0.632], [0.336, 0.788, 0.420], [0.416, 0.368, 0.580], [0.952, 0.368, 0.288], [0.080, 0.164, 0.212], [0.868, 0.580, 0.916], [0.164, 0.080, 0.712], [0.288, 0.420, 0.836], [0.712, 0.132, 0.048], [0.452, 0.664, 0.084], [0.084, 0.920, 0.132], [0.836, 0.916, 0.048], [0.580, 0.712, 0.664], [0.048, 0.416, 0.836], [0.368, 0.952, 0.788], [0.288, 0.868, 0.952], [0.632, 0.048, 0.212], [0.048, 0.632, 0.712], [0.920, 0.084, 0.632], [0.336, 0.548, 0.416], [0.584, 0.952, 0.664], [0.632, 0.584, 0.920], [0.416, 0.048, 0.336], [0.788, 0.452, 0.368], [0.080, 0.916, 0.368], [0.452, 0.788, 0.868], [0.788, 0.336, 0.920], [0.920, 0.836, 0.788], [0.868, 0.288, 0.452], [0.420, 0.288, 0.336], [0.548, 0.336, 0.916], [0.712, 0.580, 0.164], [0.084, 0.164, 0.452], [0.580, 0.868, 0.416], [0.625, 0.375, 0.750], [0.875, 0.125, 0.250], [0.625, 0.250, 0.375], [0.375, 0.625, 0.250], [0.875, 0.750, 0.125], [0.125, 0.250, 0.875], [0.750, 0.875, 0.625], [0.375, 0.750, 0.625], [0.125, 0.875, 0.750], [0.250, 0.125, 0.375], [0.250, 0.625, 0.875], [0.750, 0.375, 0.125], [0.125, 0.750, 0.375], [0.500, 0.000, 0.500], [0.875, 0.250, 0.625], [0.750, 0.625, 0.375], [0.500, 0.500, 0.500], [0.375, 0.125, 0.750], [0.375, 0.250, 0.125], [0.250, 0.875, 0.125], [0.500, 0.000, 0.000], [0.125, 0.375, 0.250], [0.000, 0.500, 0.000], [0.250, 0.375, 0.625], [0.750, 0.125, 0.875], [0.625, 0.875, 0.250], [0.000, 0.000, 0.500], [0.000, 0.500, 0.500], [0.625, 0.750, 0.875], [0.875, 0.625, 0.750], [0.000, 0.000, 0.000], [0.500, 0.500, 0.000]], "raw_formation_energy_ev_per_atom": -1.9912, "spacegroup": "Ia-3d, No. 230", "dos_ef_per_ev_cell": 24.73, "e_tot_ev_per_atom": -6.6513, "m_tot_mub_per_cell": 0.00}

---

{"formula": "Er6SnO12", "functional": "PBE", "state": "relaxed", "lattice": [[0.450, -6.316, -1.306], [3.889, 0.264, 5.158], [-5.717, 0.023, 3.019]], "species": ["O", "O", "O", "O", "O", "O", "O", "O", "O", "O", "O", "O", "Er", "Er", "Er", "Er", "Er", "Er", "Sn"], "fractional_positions": [[0.582, 0.438, 0.179], [0.932, 0.687, 0.054], [0.946, 0.068, 0.313], [0.179, 0.582, 0.438], [0.054, 0.932, 0.687], [0.418, 0.562, 0.821], [0.313, 0.946, 0.068], [0.821, 0.418, 0.562], [0.562, 0.821, 0.418], [0.438, 0.179, 0.582], [0.687, 0.054, 0.932], [0.068, 0.313, 0.946], [0.296, 0.608, 0.137], [0.704, 0.392, 0.863], [0.863, 0.704, 0.392], [0.137, 0.296, 0.608], [0.608, 0.137, 0.296], [0.392, 0.863, 0.704], [0.000, 0.000, 0.000]], "raw_formation_energy_ev_per_atom": -3.0796, "spacegroup": "R-3, No. 148", "dos_ef_per_ev_cell": 10.74, "e_tot_ev_per_atom": -7.8626, "m_tot_mub_per_cell": 2.12}

---

{"formula": "Sr4ErSn3O12", "functional": "PBE", "state": "relaxed", "lattice": [[7.234, 0.000, 0.000], [-2.411, 6.820, 0.000], [-2.411, -3.410, 5.907]], "species": ["O", "O", "O", "O", "O", "O", "O", "O", "O", "O", "O", "O", "Sn", "Sn", "Sn", "Sr", "Sr", "Sr", "Sr", "Er"], "fractional_positions": [[0.500, 0.250, 0.750], [0.750, 0.500, 0.250], [0.250, 0.500, 0.750], [0.259, 0.000, 0.259], [0.500, 0.750, 0.250], [0.250, 0.750, 0.500], [0.000, 0.259, 0.259], [0.741, 0.000, 0.741], [0.741, 0.741, 0.000], [0.750, 0.250, 0.500], [0.259, 0.259, 0.000], [0.000, 0.741, 0.741], [0.000, 0.500, 0.500], [0.500, 0.500, 0.000], [0.500, 0.000, 0.500], [0.500, 0.000, 0.000], [0.500, 0.500, 0.500], [0.000, 0.500, 0.000], [0.000, 0.000, 0.500], [0.000, 0.000, 0.000]], "raw_formation_energy_ev_per_atom": -2.3325, "spacegroup": "Im-3m, No. 229", "dos_ef_per_ev_cell": 11.31, "e_tot_ev_per_atom": -6.4724, "m_tot_mub_per_cell": 0.00}

---

{"formula": "Tb4Er2Sn3O2", "functional": "PBE", "state": "relaxed", "lattice": [[-2.085, -0.799, -4.097], [3.230, -3.210, -1.018], [-7.617, -6.765, 7.854]], "species": ["Tb", "Tb", "Tb", "Tb", "O", "O", "Er", "Er", "Sn", "Sn", "Sn"], "fractional_positions": [[0.584, 0.084, 0.168], [0.416, 0.916, 0.832], [0.084, 0.584, 0.168], [0.916, 0.416, 0.832], [0.399, 0.399, 0.798], [0.601, 0.601, 0.202], [0.693, 0.693, 0.387], [0.307, 0.307, 0.613], [0.000, 0.000, 0.000], [0.180, 0.180, 0.359], [0.820, 0.820, 0.641]], "raw_formation_energy_ev_per_atom": -1.5030, "spacegroup": "I4/mmm, No. 139", "dos_ef_per_ev_cell": 5.07, "e_tot_ev_per_atom": -6.0095, "m_tot_mub_per_cell": 0.00}